Record 1
A plane-wave DFT calculation with PBE was carried out for a relaxed structure of Er4ZnCd3.

**Space group**: Pmm2, No. 25
**Distance to the lowest polymorph of the same formula**: 65.8 meV/atom

Cell lengths 3.598, 4.797, 11.723 Å; angles 90.00, 90.00, 90.00 degrees
Fractional coordinates of all 8 atoms:
1 Er 0.000 0.000 0.000
2 Er 0.000 0.500 0.308
3 Er 0.500 0.000 0.485
4 Er 0.500 0.500 0.815
5 Zn 0.500 0.000 0.227
6 Cd 0.000 0.000 0.727
7 Cd 0.000 0.500 0.578
8 Cd 0.500 0.500 0.084

Record 2
A plane-wave DFT calculation with PBE was carried out for a relaxed structure of ErZrCd.

**Space group**: I4/mmm, No. 139
**Distance to the lowest polymorph of the same formula**: 169.5 meV/atom

Cell lengths 11.685, 11.685, 11.685 Å; angles 161.22, 161.22, 26.68 degrees
Fractional coordinates of all 6 atoms:
1 Er 0.138 0.138 0.000
2 Er 0.862 0.862 0.000
3 Zr 0.279 0.279 0.000
4 Zr 0.721 0.721 0.000
5 Cd 0.439 0.439 0.000
6 Cd 0.561 0.561 0.000

Record 3
A plane-wave DFT calculation with PBE was carried out for a relaxed structure of ErZr2Cd.

**Space group**: R-3m, No. 166
**Distance to the lowest polymorph of the same formula**: 307.4 meV/atom

Cell lengths 11.705, 11.705, 11.705 Å; angles 15.73, 15.73, 15.73 degrees
Fractional coordinates of all 4 atoms:
1 Er 0.000 0.000 0.000
2 Zr 0.412 0.412 0.412
3 Zr 0.588 0.588 0.588
4 Cd 0.500 0.500 0.500

Record 4
A plane-wave DFT calculation with PBE was carried out for a relaxed structure of Er2ZrCd.

**Space group**: R3m, No. 160
**Distance to the lowest polymorph of the same formula**: 122.9 meV/atom

Cell lengths 10.847, 10.847, 10.847 Å; angles 17.96, 17.96, 17.96 degrees
Fractional coordinates of all 4 atoms:
1 Er 0.000 0.000 0.000
2 Er 0.169 0.169 0.169
3 Zr 0.584 0.584 0.584
4 Cd 0.751 0.751 0.751

Record 5
A plane-wave DFT calculation with PBE was carried out for a relaxed structure of ErZrCd2.

**Space group**: R-3m, No. 166
**Distance to the lowest polymorph of the same formula**: 140.0 meV/atom

Cell lengths 10.414, 10.414, 10.414 Å; angles 18.41, 18.41, 18.41 degrees
Fractional coordinates of all 4 atoms:
1 Er 0.000 0.000 0.000
2 Zr 0.500 0.500 0.500
3 Cd 0.248 0.248 0.248
4 Cd 0.752 0.752 0.752

Record 6
A plane-wave DFT calculation with PBE was carried out for a relaxed structure of Er2ZrCd.

**Space group**: Fm-3m, No. 225
**Distance to the lowest polymorph of the same formula**: 185.8 meV/atom

Cell lengths 5.278, 5.278, 5.278 Å; angles 60.00, 60.00, 60.00 degrees
Fractional coordinates of all 4 atoms:
1 Er 0.250 0.250 0.250
2 Er 0.750 0.750 0.750
3 Zr 0.000 0.000 0.000
4 Cd 0.500 0.500 0.500

Record 7
A plane-wave DFT calculation with PBE was carried out for a relaxed structure of ErZrCd2.

**Space group**: P4/mmm, No. 123
**Distance to the lowest polymorph of the same formula**: 12.2 meV/atom

Cell lengths 4.678, 4.678, 4.298 Å; angles 90.00, 90.00, 90.00 degrees
Fractional coordinates of all 4 atoms:
1 Er 0.000 0.000 0.000
2 Zr 0.500 0.500 0.000
3 Cd 0.000 0.500 0.500
4 Cd 0.500 0.000 0.500

Record 8
A plane-wave DFT calculation with PBE was carried out for a relaxed structure of Er2ZrCd.

**Space group**: P4/mmm, No. 123
**Distance to the lowest polymorph of the same formula**: 116.7 meV/atom

Cell lengths 4.711, 4.711, 4.598 Å; angles 90.00, 90.00, 90.00 degrees
Fractional coordinates of all 4 atoms:
1 Er 0.000 0.500 0.000
2 Er 0.500 0.000 0.000
3 Zr 0.000 0.000 0.500
4 Cd 0.500 0.500 0.500

Energy across the listed records, respectively: -3.04, -4.65, -5.35, -4.66, -3.76, -4.60, -3.88, -4.67 eV per atom.
Calculated formation energy across the listed records, respectively: -0.25, 0.03, 0.29, -0.02, -0.02, 0.05, -0.15, -0.02 eV per atom.
Total magnetic moment across the listed records, respectively: 0.0, 0.0, 0.0, 0.0, 0.0, 2.0, 1.0, 0.0 μB/f.u..